1.
Na2Sr2La: relaxed, GGA-PBEsol.

```
Na2Sr2La
1.0
4.229 0.000 0.000
0.000 4.229 0.000
-2.114 -2.114 11.856
Sr Na La
2 2 1
Cartesian
0.000 0.000 9.293
2.114 2.114 2.563
0.000 2.114 5.928
2.114 0.000 5.928
0.000 0.000 0.000
```

Values from the calculation:
ΔH_f (0 K): 0.215 eV/atom


2.
RbAlS2: relaxed, GGA-PBEsol.

```
RbAlS2
1.0
-1.882 -1.964 -5.920
3.284 -4.430 3.469
-4.434 -4.773 -0.050
S Al Rb
4 2 2
Cartesian
0.833 -2.966 1.023
-1.935 -8.115 -2.644
-0.834 -5.852 -0.160
-4.128 -5.401 -3.220
-0.575 -4.602 1.709
-1.803 -7.884 -0.396
0.000 0.000 0.000
-1.229 -3.283 -2.105
```

Values from the calculation:
uncorrected formation energy: -1.25 eV/atom


3.
MnBeIr2: relaxed, GGA-PBEsol.

```
MnBeIr2
1.0
2.779 0.000 0.000
0.000 4.411 0.000
-1.390 -2.206 4.054
Be Ir Mn
1 2 1
Cartesian
0.000 2.206 0.000
1.390 2.206 1.793
0.000 0.000 2.261
1.390 0.000 0.000
```

Values from the calculation:
ΔH_f (0 K): -0.120 eV/atom


Number 1: energy -2.150 eV/atom. Number 2: energy -4.721 eV/atom. Number 3: energy -8.472 eV/atom.